[1]
19
Lattice="7.3862 0.0000 0.0000 -3.6931 6.3967 0.0000 0.0000 0.0000 5.7847" Properties=species:S:1:pos:R:3 comment="Ag6Mo2ClO7F3 SCAN single point on PBEsol structure" e_form_raw_kj_per_mol_atoms=-131.4 pbc="T T T"
Ag 0.0000 2.1503 0.0000
Ag -1.8309 5.3215 0.0000
Ag 1.6158 0.9329 3.3067
Ag 1.8309 5.3215 0.0000
Ag 5.7705 0.9329 3.3067
Ag 3.6931 4.5309 3.3067
Mo 0.0000 4.2644 2.7782
Mo 3.6931 2.1322 0.4518
Cl 0.0000 0.0000 1.4118
O 0.0000 2.6409 3.4932
O -1.4060 5.0762 3.4932
O 0.0000 4.2644 0.9598
O 2.3189 1.3388 5.4427
O 1.4060 5.0762 3.4932
O 5.0673 1.3388 5.4427
O 3.6931 3.7190 5.4427
F 3.6931 0.6345 1.8957
F 2.3961 2.8811 1.8957
F 4.9901 2.8811 1.8957

[2]
5
Lattice="4.8505 0.0000 0.0000 0.0000 4.8505 0.0000 0.0000 0.0000 4.0768" Properties=species:S:1:pos:R:3 comment="AgCl2OF SCAN single point on PBEsol structure" e_form_raw_kj_per_mol_atoms=14.1 pbc="T T T"
Ag 0.0000 0.0000 0.0000
Cl 0.0000 2.4252 0.0000
Cl 2.4252 0.0000 0.0000
O 2.4252 2.4252 2.0384
F 0.0000 0.0000 2.0384

[3]
4
Lattice="4.5755 0.0000 0.0000 0.0000 4.5755 0.0000 0.0000 0.0000 3.2073" Properties=species:S:1:pos:R:3 comment="FeAgCl2 SCAN single point on PBEsol structure" e_form_raw_kj_per_mol_atoms=-14.0 pbc="T T T"
Fe 0.0000 0.0000 0.0000
Ag 2.2878 2.2878 0.0000
Cl 0.0000 2.2878 1.6036
Cl 2.2878 0.0000 1.6036

What did we get for density of states at the Fermi level? Answer: 0.000 4.004 0.682 states/eV/cell, in the order shown.
What did we get for electronic total energy? Answer: -18.21 -11.27 -16.51 eV/atom, in the order shown.